Below is a relaxed structure of TbEr2Sc3Se6, with properties calculated at the PBE-GGA level.

## Properties
Density of states at the Fermi level: 6.27 states/eV per cell
Formation energy without anion corrections: -1.65 eV per atom
Total DFT energy (no corrections): -73.51 eV per cell
Symmetry: No. 12

Lattice parameters (Å, degrees): 6.8715 6.8715 6.8833 99.52 99.52 120.24
Closest atoms and distances in Å follow each position.
Sites, in units of the cell vectors:
Tb 0.0000 0.0000 0.0000  6 Se 2.87-2.89
Er 0.3340 0.6660 0.0000  6 Se 2.84-2.85
Er 0.6660 0.3340 0.0000  6 Se 2.84-2.85
Sc 0.1622 0.8378 0.5000  6 Se 2.74-2.77
Sc 0.8378 0.1622 0.5000  6 Se 2.74-2.77
Sc 0.5000 0.5000 0.5000  6 Se 2.73-2.77
Se 0.9122 0.5743 0.7357  3 Sc 2.76-2.77, 2 Er 2.85, 1 Tb 2.89
Se 0.7500 0.7500 0.2619  3 Sc 2.73-2.74, 2 Er 2.84, 1 Tb 2.87
Se 0.0878 0.4257 0.2643  3 Sc 2.76-2.77, 2 Er 2.85, 1 Tb 2.89
Se 0.5743 0.9122 0.7357  3 Sc 2.76-2.77, 2 Er 2.85, 1 Tb 2.89
Se 0.2500 0.2500 0.7381  3 Sc 2.73-2.74, 2 Er 2.84, 1 Tb 2.87
Se 0.4257 0.0878 0.2643  3 Sc 2.76-2.77, 2 Er 2.85, 1 Tb 2.89